No. 1
The following is a DFT calculation (GGA-PBE) of a geometry-optimized CdPt2Pb structure.

a b c (Å): 6.761 6.761 6.761
angles (deg): 90.00 90.00 90.00
Positions (direct):
Cd1 0.000 0.000 0.000
Cd2 0.000 0.500 0.500
Cd3 0.500 0.000 0.500
Cd4 0.500 0.500 0.000
Pt1 0.250 0.250 0.250
Pt2 0.250 0.250 0.750
Pt3 0.250 0.750 0.250
Pt4 0.250 0.750 0.750
Pt5 0.750 0.250 0.250
Pt6 0.750 0.250 0.750
Pt7 0.750 0.750 0.250
Pt8 0.750 0.750 0.750
Pb1 0.000 0.000 0.500
Pb2 0.000 0.500 0.000
Pb3 0.500 0.000 0.000
Pb4 0.500 0.500 0.500

## Properties
V in Å³/cell: 309.0
Polymorph energy (0 for the lowest one) in eV per atom: 0.0749
Energy of formation from the pure elements in eV per atom: -0.10
Symmetry: Fm-3m
Energy in eV per atom: -4.28

No. 2
The following is a DFT calculation (GGA-PBE) of a geometry-optimized Na2PaTi2Te6 structure.

a b c (Å): 7.071 7.071 8.149
angles (deg): 97.95 97.95 120.18
Positions (direct):
Na1 0.159 0.841 0.000
Na2 0.841 0.159 0.000
Pa1 0.000 0.000 0.500
Ti1 0.332 0.668 0.500
Ti2 0.668 0.332 0.500
Te1 0.073 0.422 0.721
Te2 0.285 0.285 0.281
Te3 0.422 0.073 0.721
Te4 0.578 0.927 0.279
Te5 0.715 0.715 0.719
Te6 0.927 0.578 0.279

## Properties
V in Å³/cell: 338.4
Formation energy from raw total energies in kJ per mole of atoms: -79.0
Symmetry: C2/m
Energy in eV per atom: -5.07